DFT (PBE-GGA) results for a relaxed structure of SeIOF2.

Computed properties:
* uncorrected energy: -2.843 eV per atom
* calculated volume: 18.66 Å³/atom
* mass density: 4.62 g/cm³
* energy above the lowest structure with this stoichiometry: 247 meV/atom
* ΔE_f (raw): -96 meV per atom
* D(E_F): 3.04 states/eV/f.u.

a b c (Å): 4.8188 4.8188 4.0183
angles (deg): 90.00 90.00 90.00
Last column: nearest neighbours and their distance in Å.
Fractional positions:
Se 0.0000 0.0000 0.0000  8 F 3.14, 4 O 3.41
I 0.5000 0.5000 0.5000  2 O 2.01
O 0.5000 0.5000 0.0000  2 I 2.01
F 0.0000 0.5000 0.5000  2 I 2.41
F 0.5000 0.0000 0.5000  2 I 2.41